The following is a PBE calculation of an optimized crystal structure of In3Br, from the Alexandria database.

The space group is Imm2 (No. 44) and the conventional cell measures 3.6210, 11.4245 and 5.5578 Å, with angles of 90.00, 90.00 and 90.00 degrees. The asymmetric unit holds In at (0.0000, 0.0000, 0.0000), In at (0.0000, 0.2561, 0.5461) and Br at (0.0000, 0.5000, 0.0100).

As for the energy relative to the lowest polymorph listed for this composition: 0.13 eV per formula unit.

The following is a PBE calculation of an optimized crystal structure of InBr4, from the Alexandria database.

The space group is Im-3m (No. 229) and the conventional cell measures 6.8220, 6.8220 and 6.8220 Å, with angles of 90.00, 90.00 and 90.00 degrees. The asymmetric unit holds In at (0.0000, 0.0000, 0.0000) and Br at (0.2500, 0.2500, 0.2500).

The following is a PBE calculation of an optimized crystal structure of InBr3, from the Alexandria database.

The space group is Fm-3m (No. 225) and the conventional cell measures 7.5615, 7.5615 and 7.5615 Å, with angles of 90.00, 90.00 and 90.00 degrees. The asymmetric unit holds In at (0.0000, 0.0000, 0.0000), Br at (0.0000, 0.0000, 0.5000) and Br at (0.2500, 0.2500, 0.2500).

The following is a PBE calculation of an optimized crystal structure of InBr3, from the Alexandria database.

The space group is C2/m (No. 12) and the conventional cell measures 6.9103, 11.9658 and 7.3578 Å, with angles of 90.00, 107.62 and 90.00 degrees. The asymmetric unit holds In at (0.0000, 0.1666, 0.0000), Br at (0.2150, 0.0000, 0.2252) and Br at (0.2494, 0.1784, 0.7755).

The following is a PBE calculation of an optimized crystal structure of In4Br5, from the Alexandria database.

The space group is P-1 (No. 2) and the conventional cell measures 3.8764, 7.5318 and 11.4807 Å, with angles of 72.62, 80.44 and 75.19 degrees. The asymmetric unit holds In at (0.1283, 0.1630, 0.0791), In at (0.3027, 0.5051, 0.3874), Br at (0.0384, 0.7610, 0.6667), Br at (0.2633, 0.2212, 0.7546) and Br at (0.5000, 0.5000, 0.0000).

The following is a PBE calculation of an optimized crystal structure of InBr2, from the Alexandria database.

The space group is I4/mcm (No. 140) and the conventional cell measures 6.9747, 6.9747 and 7.2367 Å, with angles of 90.00, 90.00 and 90.00 degrees. The asymmetric unit holds In at (0.0000, 0.0000, 0.2500) and Br at (0.1963, 0.3037, 0.0000).

The following is a PBE calculation of an optimized crystal structure of InBr, from the Alexandria database.

The space group is Pm-3n (No. 223) and the conventional cell measures 9.0683, 9.0683 and 9.0683 Å, with angles of 90.00, 90.00 and 90.00 degrees. The asymmetric unit holds In at (0.0000, 0.2500, 0.5000) and Br at (0.0000, 0.5000, 0.2500).

The following is a PBE calculation of an optimized crystal structure of In2Br, from the Alexandria database.

The space group is P6_3/mmc (No. 194) and the conventional cell measures 5.0386, 5.0386 and 8.8918 Å, with angles of 90.00, 90.00 and 120.00 degrees. The asymmetric unit holds In at (0.3333, 0.6667, 0.0739) and Br at (0.0000, 0.0000, 0.2500).

As for the energy relative to the lowest polymorph listed for this composition: 0.51 eV per formula unit.

The following is a PBE calculation of an optimized crystal structure of InBr2, from the Alexandria database.

The space group is Fm-3m (No. 225) and the conventional cell measures 7.2263, 7.2263 and 7.2263 Å, with angles of 90.00, 90.00 and 90.00 degrees. The asymmetric unit holds In at (0.0000, 0.0000, 0.0000) and Br at (0.2500, 0.2500, 0.2500).

The following is a PBE calculation of an optimized crystal structure of In3Br, from the Alexandria database.

The space group is Pm-3m (No. 221) and the conventional cell measures 4.9275, 4.9275 and 4.9275 Å, with angles of 90.00, 90.00 and 90.00 degrees. The asymmetric unit holds In at (0.0000, 0.0000, 0.5000) and Br at (0.5000, 0.5000, 0.5000).

As for the energy relative to the lowest polymorph listed for this composition: 0.35 eV per formula unit.

The following is a PBE calculation of an optimized crystal structure of InBr2, from the Alexandria database.

The space group is P6/mmm (No. 191) and the conventional cell measures 5.3197, 5.3197 and 4.0719 Å, with angles of 90.00, 90.00 and 120.00 degrees. The asymmetric unit holds In at (0.0000, 0.0000, 0.0000) and Br at (0.3333, 0.6667, 0.5000).

The following is a PBE calculation of an optimized crystal structure of InBr3, from the Alexandria database.

The space group is R-3m (No. 166, hexagonal axes) and the conventional cell measures 3.2243, 3.2243 and 40.6046 Å, with angles of 90.00, 90.00 and 120.00 degrees. The asymmetric unit holds In at (0.0000, 0.0000, 0.0000), Br at (0.0000, 0.0000, 0.0683) and Br at (0.0000, 0.0000, 0.5000).

The following is a PBE calculation of an optimized crystal structure of In2Br, from the Alexandria database.

The space group is Fm-3m (No. 225) and the conventional cell measures 7.7349, 7.7349 and 7.7349 Å, with angles of 90.00, 90.00 and 90.00 degrees. The asymmetric unit holds In at (0.2500, 0.2500, 0.2500) and Br at (0.0000, 0.0000, 0.0000).

As for the energy relative to the lowest polymorph listed for this composition: 0.82 eV per formula unit.

The following is a PBE calculation of an optimized crystal structure of InBr, from the Alexandria database.

The space group is Fddd (No. 70, origin choice 2) and the conventional cell measures 8.4246, 10.2726 and 13.1820 Å, with angles of 90.00, 90.00 and 90.00 degrees. The asymmetric unit holds In at (0.0990, 0.3750, 0.3750) and Br at (0.1250, 0.3303, 0.6250).

The following is a PBE calculation of an optimized crystal structure of InBr3, from the Alexandria database.

The space group is Im-3m (No. 229) and the conventional cell measures 6.3738, 6.3738 and 6.3738 Å, with angles of 90.00, 90.00 and 90.00 degrees. The asymmetric unit holds In at (0.0000, 0.0000, 0.0000) and Br at (0.0000, 0.0000, 0.5000).

The following is a PBE calculation of an optimized crystal structure of InBr2, from the Alexandria database.

The space group is I4/mmm (No. 139) and the conventional cell measures 3.6970, 3.6970 and 13.8675 Å, with angles of 90.00, 90.00 and 90.00 degrees. The asymmetric unit holds In at (0.0000, 0.0000, 0.0000) and Br at (0.0000, 0.0000, 0.3767).

The following is a PBE calculation of an optimized crystal structure of InBr, from the Alexandria database.

The space group is I4_1/amd (No. 141, origin choice 2) and the conventional cell measures 4.5851, 4.5851 and 12.7764 Å, with angles of 90.00, 90.00 and 90.00 degrees. The asymmetric unit holds In at (0.0000, 0.2500, 0.3750) and Br at (0.0000, 0.2500, 0.8750).

The following is a PBE calculation of an optimized crystal structure of InBr, from the Alexandria database.

The space group is P6_3/m (No. 176) and the conventional cell measures 10.7432, 10.7432 and 4.6154 Å, with angles of 90.00, 90.00 and 120.00 degrees. The asymmetric unit holds In at (0.1122, 0.6366, 0.2500) and Br at (0.1624, 0.3536, 0.7500).

The following is a PBE calculation of an optimized crystal structure of InBr2, from the Alexandria database.

The space group is Pnna (No. 52) and the conventional cell measures 8.0284, 10.7419 and 10.7368 Å, with angles of 90.00, 90.00 and 90.00 degrees. The asymmetric unit holds In at (0.1679, 0.2500, 0.2500), In at (0.2500, 0.0000, 0.6790), Br at (0.0053, 0.5408, 0.3152) and Br at (0.1602, 0.6872, 0.9511).

The following is a PBE calculation of an optimized crystal structure of In3Br, from the Alexandria database.

The space group is P6_3/mmc (No. 194) and the conventional cell measures 6.7581, 6.7581 and 6.1079 Å, with angles of 90.00, 90.00 and 120.00 degrees. The asymmetric unit holds In at (0.1651, 0.3302, 0.2500) and Br at (0.3333, 0.6667, 0.7500).

As for the energy relative to the lowest polymorph listed for this composition: 0.31 eV per formula unit.

The following is a PBE calculation of an optimized crystal structure of In4Br, from the Alexandria database.

The space group is I4/m (No. 87) and the conventional cell measures 7.6681, 7.6681 and 4.9542 Å, with angles of 90.00, 90.00 and 90.00 degrees. The asymmetric unit holds In at (0.1224, 0.3148, 0.0000) and Br at (0.0000, 0.0000, 0.5000).

As for the energy relative to the lowest polymorph listed for this composition: 0.00 eV per formula unit.

The following is a PBE calculation of an optimized crystal structure of InBr3, from the Alexandria database.

The space group is Pm-3n (No. 223) and the conventional cell measures 6.0651, 6.0651 and 6.0651 Å, with angles of 90.00, 90.00 and 90.00 degrees. The asymmetric unit holds In at (0.0000, 0.0000, 0.0000) and Br at (0.0000, 0.2500, 0.5000).

The following is a PBE calculation of an optimized crystal structure of InBr3, from the Alexandria database.

The space group is Cmmm (No. 65) and the conventional cell measures 5.4894, 14.0409 and 3.9137 Å, with angles of 90.00, 90.00 and 90.00 degrees. The asymmetric unit holds In at (0.0000, 0.0000, 0.0000), Br at (0.0000, 0.1343, 0.5000) and Br at (0.0000, 0.5000, 0.0000).

The following is a PBE calculation of an optimized crystal structure of In2Br, from the Alexandria database.

The space group is P-3m1 (No. 164) and the conventional cell measures 3.6980, 3.6980 and 7.4934 Å, with angles of 90.00, 90.00 and 120.00 degrees. The asymmetric unit holds In at (0.3333, 0.6667, 0.3146) and Br at (0.0000, 0.0000, 0.0000).

As for the energy relative to the lowest polymorph listed for this composition: 0.13 eV per formula unit.

The following is a PBE calculation of an optimized crystal structure of In2Br, from the Alexandria database.

The space group is Fd-3m (No. 227, origin choice 2) and the conventional cell measures 9.0768, 9.0768 and 9.0768 Å, with angles of 90.00, 90.00 and 90.00 degrees. The asymmetric unit holds In at (0.0000, 0.0000, 0.0000) and Br at (0.1250, 0.1250, 0.6250).

As for the energy relative to the lowest polymorph listed for this composition: 0.38 eV per formula unit.

no.,calculated total energy (eV/atom)
1,-2.6422
2,-2.0082
3,-1.9873
4,-2.7549
5,-2.7701
6,-2.4909
7,-2.7680
8,-2.5260
9,-2.5115
10,-2.5859
11,-2.1802
12,-1.8247
13,-2.4202
14,-2.8495
15,-2.0399
16,-2.4906
17,-2.7638
18,-2.7989
19,-2.8058
20,-2.5971
21,-2.6232
22,-2.0980
23,-2.6630
24,-2.6506
25,-2.5678